1.
AcPrSmTl | PBE | optimized geometry

Output
As for the spin magnetization: 0.0 Bohr magnetons per cell. For the density of states at the Fermi level, the calculation gives 7.48 states/eV per cell. The value obtained for the raw total energy is -4.005 eV per atom. The excess energy over the best structure of this formula in the dataset comes out at 19 meV per atom. For the mass density, the calculation gives 9.02 g/cm³. The space group is F-43m.

POSCAR file:
```
AcPrSmTl
1.0
5.7303 0.0000 0.0000
2.8651 4.9626 0.0000
2.8651 1.6542 4.6788
Ac Sm Pr Tl
1 1 1 1
Direct
0.5000 0.5000 0.5000
0.2500 0.2500 0.2500
0.7500 0.7500 0.7500
0.0000 0.0000 0.0000
```



2.
AcPrSm2Tl4 | PBE | optimized geometry

Output
As for the spin magnetization: 0.0 Bohr magnetons per cell. For the density of states at the Fermi level, the calculation gives 7.69 states/eV per cell. The value obtained for the raw total energy is -3.830 eV per atom. For the mass density, the calculation gives 9.96 g/cm³. The space group is R-3m.

POSCAR file:
```
AcPrSm2Tl4
1.0
-1.3173 -0.6936 5.3937
0.7578 -4.9742 2.4478
8.2867 0.5759 5.0002
Sm Pr Tl Ac
2 1 4 1
Direct
0.2496 0.2496 0.2513
0.7504 0.7504 0.7487
0.5000 0.5000 0.5000
0.8730 0.8730 0.3809
0.6225 0.6225 0.1324
0.1270 0.1270 0.6191
0.3775 0.3775 0.8676
0.0000 0.0000 0.0000
```



3.
Ac2Pr4SmTm | PBE | optimized geometry

Output
As for the spin magnetization: 0.0 Bohr magnetons per cell. For the density of states at the Fermi level, the calculation gives 12.42 states/eV per cell. The value obtained for the raw total energy is -4.531 eV per atom. For the mass density, the calculation gives 7.48 g/cm³. The space group is P2/m.

POSCAR file:
```
Ac2Pr4SmTm
1.0
-1.0985 -1.1785 -3.4092
-2.0239 -5.5167 2.5591
-11.8027 2.9794 2.7733
Pr Sm Ac Tm
4 1 2 1
Direct
0.0000 0.2541 0.2485
0.5000 0.7450 0.2547
0.0000 0.7459 0.7515
0.5000 0.2550 0.7453
0.5000 0.5000 0.0000
0.5000 0.0000 0.5000
0.0000 0.0000 0.0000
0.0000 0.5000 0.5000
```



4.
AcPr4Sm2Tm | PBE | optimized geometry

Output
As for the spin magnetization: 0.0 Bohr magnetons per cell. For the density of states at the Fermi level, the calculation gives 17.82 states/eV per cell. The value obtained for the raw total energy is -4.526 eV per atom. For the mass density, the calculation gives 7.31 g/cm³. The space group is Pmmm.

POSCAR file:
```
AcPr4Sm2Tm
1.0
-2.6504 2.8703 4.6689
4.5145 -1.7761 3.6547
8.4474 4.6663 1.9268
Pr Ac Tm Sm
4 1 1 2
Direct
0.0000 0.2314 0.2690
0.0000 0.7686 0.7310
0.5000 0.2697 0.7304
0.5000 0.7303 0.2696
0.5000 0.5000 0.0000
0.0000 0.5000 0.5000
0.5000 0.0000 0.5000
0.0000 0.0000 0.0000
```



5.
Ac5Pr2SmTm | PBE | optimized geometry

Output
As for the spin magnetization: 0.0 Bohr magnetons per cell. For the density of states at the Fermi level, the calculation gives 27.78 states/eV per cell. The value obtained for the raw total energy is -4.079 eV per atom. For the mass density, the calculation gives 7.77 g/cm³. The space group is I4/mcm.

POSCAR file:
```
Ac5Pr2SmTm
1.0
8.5274 0.0000 0.0000
0.0000 8.5274 0.0000
-4.2637 -4.2637 10.1991
Pr Ac Tm Sm
4 10 2 2
Direct
0.8776 0.6224 0.0000
0.6224 0.1224 0.0000
0.1224 0.3776 0.0000
0.3776 0.8776 0.0000
0.6336 0.1336 0.7211
0.5875 0.6336 0.7211
0.0875 0.5875 0.7211
0.4125 0.3664 0.2789
0.8664 0.9125 0.2789
0.3664 0.8664 0.2789
0.5000 0.5000 0.0000
0.9125 0.4125 0.2789
0.0000 0.0000 0.0000
0.1336 0.0875 0.7211
0.2500 0.7500 0.5000
0.7500 0.2500 0.5000
0.7500 0.7500 0.5000
0.2500 0.2500 0.5000
```



6.
AcPr2SmTm4 | PBE | optimized geometry

Output
As for the spin magnetization: 0.0 Bohr magnetons per cell. For the density of states at the Fermi level, the calculation gives 36.71 states/eV per cell. The value obtained for the raw total energy is -4.110 eV per atom. For the mass density, the calculation gives 7.97 g/cm³. The space group is Imma.

POSCAR file:
```
AcPr2SmTm4
1.0
9.4766 -0.0324 -1.7994
-0.0391 9.4765 -1.7994
-5.9899 -5.9941 8.4758
Pr Tm Ac Sm
4 8 2 2
Direct
0.5000 0.5000 0.0000
0.0000 0.0000 0.5000
0.5000 0.0000 0.5000
0.5000 0.0000 0.0000
0.7414 0.7580 0.9967
0.7402 0.2351 0.9876
0.2586 0.2420 0.0033
0.7351 0.2401 0.4876
0.2649 0.7598 0.5124
0.2599 0.7649 0.0124
0.2580 0.2414 0.4967
0.7420 0.7586 0.5033
0.0000 0.5000 0.5000
0.0000 0.5000 0.0000
0.0000 0.0000 0.0000
0.5000 0.5000 0.5000
```



- The highest raw total energy belongs to which entry?
  AcPrSm2Tl4



- Which value of spin magnetization does entry 1 give?
  0.0 Bohr magnetons per cell



- What is the formula in the first record?
  AcPrSmTl



- Look up the spin magnetization of the first one.
  0.0 Bohr magnetons per cell